Compound: EuMoO2
Source: Alexandria
Functional: PBE+U
Structure: relaxed

Unit cell a=3.486 b=3.486 c=5.653 alpha=72.04 beta=72.04 gamma=60.00
Site moments in Bohr magnetons follow the coordinates.
Atoms (fractional coordinates):
Eu 0.500 0.500 0.500  6.83
Mo 0.000 0.000 0.000  1.92
O 0.733 0.733 0.800  -0.01
O 0.267 0.267 0.200  -0.01

Calculated values
Electronic total energy, eV per atom: -8.498